1.
## TmLuBeOs (GGA-PBE)

Data for TmLuBeOs after structural relaxation.

Output
Formation energy from the elements: -0.166 eV/atom
Energy: -6.153 eV/atom
SG: F-43m, No. 216
Spin magnetization: 0.0 Bohr magnetons per cell
Calculated density: 11.978 g/cm3
Crystal system: cubic

Cell and atoms, written as extended XYZ:
```
4
Lattice="0.000 3.352 3.352 3.352 0.000 3.352 3.352 3.352 0.000" Properties=species:S:1:pos:R:3 pbc="T T T"
Tm 0.000 0.000 0.000
Lu 3.352 3.352 3.352
Be 1.676 1.676 1.676
Os 5.027 5.027 5.027
```

2.
## SrGdAlCd (GGA-PBE)

Data for SrGdAlCd after structural relaxation.

Output
Formation energy from the elements: -0.234 eV/atom
Energy: -5.340 eV/atom
SG: F-43m, No. 216
Spin magnetization: 7.2 Bohr magnetons per cell
Calculated density: 5.591 g/cm3
Crystal system: cubic

Cell and atoms, written as extended XYZ:
```
4
Lattice="0.000 3.850 3.850 3.850 0.000 3.850 3.850 3.850 0.000" Properties=species:S:1:pos:R:3 pbc="T T T"
Sr 0.000 0.000 0.000
Gd 3.850 3.850 3.850
Al 1.925 1.925 1.925
Cd 5.775 5.775 5.775
```

3.
## YTlAg (GGA-PBE)

Data for YTlAg after structural relaxation.

Output
Formation energy from the elements: 0.395 eV/atom
Energy: -3.499 eV/atom
SG: I4mm, No. 107
Spin magnetization: 0.0 Bohr magnetons per cell
Calculated density: 7.738 g/cm3
Crystal system: tetragonal

Cell and atoms, written as extended XYZ:
```
3
Lattice="-1.607 1.607 8.335 1.607 -1.607 8.335 1.607 1.607 -8.335" Properties=species:S:1:pos:R:3 pbc="T T T"
Y 0.000 0.000 0.000
Tl 0.000 0.000 3.190
Ag 0.000 0.000 13.731
```

4.
## YTcOs2 (GGA-PBE)

Data for YTcOs2 after structural relaxation.

Output
Formation energy from the elements: 0.440 eV/atom
Energy: -9.383 eV/atom
SG: F-43m, No. 216
Spin magnetization: 0.2 Bohr magnetons per cell
Relative energy among the computed polymorphs: 25.4 kJ/mol of atoms
Calculated density: 14.052 g/cm3
Crystal system: cubic

Cell and atoms, written as extended XYZ:
```
4
Lattice="0.000 3.224 3.224 3.224 0.000 3.224 3.224 3.224 0.000" Properties=species:S:1:pos:R:3 pbc="T T T"
Y 0.000 0.000 0.000
Tc 4.837 4.837 4.837
Os 1.612 1.612 1.612
Os 3.224 3.224 3.224
```

5.
## CdFeMo3 (GGA-PBE)

Data for CdFeMo3 after structural relaxation.

Output
Formation energy from the elements: 1.056 eV/atom
Energy: -7.319 eV/atom
SG: Pm-3m, No. 221
Spin magnetization: 0.0 Bohr magnetons per cell
Relative energy among the computed polymorphs: 0.0 kJ/mol of atoms
Calculated density: 8.333 g/cm3
Crystal system: cubic

Cell and atoms, written as extended XYZ:
```
5
Lattice="4.496 0.000 0.000 0.000 4.496 0.000 0.000 0.000 4.496" Properties=species:S:1:pos:R:3 pbc="T T T"
Cd 0.000 0.000 0.000
Fe 2.248 2.248 2.248
Mo 0.000 2.248 2.248
Mo 2.248 0.000 2.248
Mo 2.248 2.248 0.000
```

6.
## ZnTcAs (GGA-PBE)

Data for ZnTcAs after structural relaxation.

Output
Formation energy from the elements: 0.260 eV/atom
Energy: -5.170 eV/atom
SG: Fmm2, No. 42
Spin magnetization: 0.0 Bohr magnetons per cell
Relative energy among the computed polymorphs: 37.3 kJ/mol of atoms
Calculated density: 7.700 g/cm3
Crystal system: orthorhombic

Cell and atoms, written as extended XYZ:
```
3
Lattice="0.000 2.428 6.629 1.597 0.000 6.629 1.597 2.428 0.000" Properties=species:S:1:pos:R:3 pbc="T T T"
Zn 0.000 0.000 0.000
Tc 1.597 2.428 8.706
As 1.597 2.428 3.915
```

7.
## Ce2AuBr (GGA-PBE)

Data for Ce2AuBr after structural relaxation.

Output
ΔE_f (raw): -0.776 eV per atom
Energy: -4.981 eV/atom
SG: R3m, No. 160
Spin magnetization: 2.5 Bohr magnetons per cell
Relative energy among the computed polymorphs: 3.9 kJ/mol of atoms
Calculated density: 7.979 g/cm3
Crystal system: trigonal

Cell and atoms, written as extended XYZ:
```
4
Lattice="2.029 1.172 8.129 -2.029 1.172 8.129 0.000 -2.343 8.129" Properties=species:S:1:pos:R:3 pbc="T T T"
Ce 0.000 0.000 0.000
Ce 0.000 0.000 4.416
Au 0.000 0.000 14.417
Br 0.000 0.000 10.344
```

8.
## Dy2HoTm6Sc (GGA-PBE)

Data for Dy2HoTm6Sc after structural relaxation.

Output
Formation energy from the elements: 0.127 eV/atom
Energy: -4.567 eV/atom
SG: C2/c, No. 15
Spin magnetization: 0.0 Bohr magnetons per cell
Calculated density: 8.520 g/cm3
Crystal system: monoclinic

Cell and atoms, written as extended XYZ:
```
20
Lattice="4.450 -7.327 0.000 4.450 7.327 0.000 -1.269 0.000 9.257" Properties=species:S:1:pos:R:3 pbc="T T T"
Dy 1.637 0.764 4.196
Dy 1.002 -0.764 8.824
Dy 6.627 0.764 0.433
Dy 5.993 -0.764 5.061
Ho 3.498 0.313 6.943
Ho 4.132 -0.313 2.314
Tm 2.423 5.771 8.178
Tm 1.700 3.243 6.377
Tm 4.572 5.771 5.707
Tm 3.835 2.764 0.528
Tm 4.429 2.764 4.100
Tm 5.295 3.243 7.508
Tm 2.335 -3.243 1.749
Tm 3.201 -2.764 5.156
Tm 3.794 -2.764 8.729
Tm 3.058 -5.771 3.550
Tm 5.930 -3.243 2.879
Tm 5.207 -5.771 1.079
Sc 4.132 6.032 2.314
Sc 3.498 -6.032 6.943
```

9.
## PuGaGeAu (GGA-PBE)

Data for PuGaGeAu after structural relaxation.

Output
Formation energy from the elements: -0.261 eV/atom
Energy: -6.574 eV/atom
SG: F-43m, No. 216
Spin magnetization: 5.6 Bohr magnetons per cell
Calculated density: 12.089 g/cm3
Crystal system: cubic

Cell and atoms, written as extended XYZ:
```
4
Lattice="0.000 3.422 3.422 3.422 0.000 3.422 3.422 3.422 0.000" Properties=species:S:1:pos:R:3 pbc="T T T"
Pu 0.000 0.000 0.000
Ga 1.711 1.711 1.711
Ge 5.133 5.133 5.133
Au 3.422 3.422 3.422
```

10.
## CaNd2Sb3Rh4 (GGA-PBE)

Data for CaNd2Sb3Rh4 after structural relaxation.

Output
ΔE_f (raw): -0.783 eV per atom
Energy: -6.114 eV/atom
SG: P-4m2, No. 115
Spin magnetization: 0.0 Bohr magnetons per cell
Calculated density: 8.332 g/cm3
Crystal system: tetragonal

Cell and atoms, written as extended XYZ:
```
10
Lattice="4.369 0.000 0.000 0.000 4.369 0.000 0.000 0.000 11.542" Properties=species:S:1:pos:R:3 pbc="T T T"
Ca 0.000 0.000 0.000
Nd 0.000 2.185 8.474
Nd 2.185 0.000 3.068
Sb 0.000 2.185 4.282
Sb 2.185 0.000 7.260
Sb 2.185 2.185 0.000
Rh 0.000 0.000 5.771
Rh 0.000 2.185 1.735
Rh 2.185 0.000 9.808
Rh 2.185 2.185 5.771
```

11.
## TcHg2Rh (GGA-PBE)

Data for TcHg2Rh after structural relaxation.

Output
Formation energy from the elements: 0.887 eV/atom
Energy: -3.693 eV/atom
SG: I-42d, No. 122
Spin magnetization: 6.2 Bohr magnetons per cell
Relative energy among the computed polymorphs: 67.6 kJ/mol of atoms
Calculated density: 12.558 g/cm3
Crystal system: tetragonal

Cell and atoms, written as extended XYZ:
```
8
Lattice="-3.761 3.761 2.814 3.761 -3.761 2.814 3.761 3.761 -2.814" Properties=species:S:1:pos:R:3 pbc="T T T"
Tc 0.000 0.000 0.000
Tc 0.000 3.761 1.407
Hg 1.880 1.928 -0.704
Hg 5.594 1.880 0.704
Hg 1.880 1.833 2.111
Hg -1.833 1.880 3.518
Rh 3.761 0.000 1.407
Rh 0.000 0.000 2.814
```

12.
## Cs2NiPt2 (GGA-PBE)

Data for Cs2NiPt2 after structural relaxation.

Output
Formation energy from the elements: -0.081 eV/atom
Energy: -3.995 eV/atom
SG: R-3m, No. 166
Spin magnetization: 0.0 Bohr magnetons per cell
Calculated density: 6.070 g/cm3
Crystal system: trigonal

Cell and atoms, written as extended XYZ:
```
5
Lattice="2.232 1.289 11.328 -2.232 1.289 11.328 0.000 -2.578 11.328" Properties=species:S:1:pos:R:3 pbc="T T T"
Cs 0.000 0.000 2.718
Cs 0.000 0.000 31.264
Ni 0.000 0.000 16.991
Pt 0.000 0.000 5.878
Pt 0.000 0.000 28.105
```

13.
## Tb4PmS6 (GGA-PBE)

Data for Tb4PmS6 after structural relaxation.

Output
ΔE_f (raw): -2.053 eV per atom
Energy: -6.420 eV/atom
SG: Cmcm, No. 63
Spin magnetization: 0.0 Bohr magnetons per cell
Calculated density: 6.449 g/cm3
Crystal system: orthorhombic

Cell and atoms, written as extended XYZ:
```
22
Lattice="1.939 -6.471 0.000 1.939 6.471 0.000 0.000 0.000 19.967" Properties=species:S:1:pos:R:3 pbc="T T T"
Tb 1.939 5.285 12.525
Tb 1.939 5.285 17.425
Tb 1.939 1.796 10.777
Tb 1.939 1.796 19.173
Tb 1.939 -1.796 0.794
Tb 1.939 -1.796 9.190
Tb 1.939 -5.285 2.542
Tb 1.939 -5.285 7.442
Pm 1.939 4.488 4.992
Pm 1.939 -4.488 14.975
S 0.000 0.000 0.000
S 0.000 0.000 9.983
S 1.939 4.031 14.975
S 1.939 2.990 1.779
S 1.939 2.990 8.204
S 1.939 0.634 13.301
S 1.939 0.634 16.649
S 1.939 -0.634 3.318
S 1.939 -0.634 6.665
S 1.939 -2.990 11.763
S 1.939 -2.990 18.187
S 1.939 -4.031 4.992
```

14.
## ThScO (GGA-PBE)

Data for ThScO after structural relaxation.

Output
ΔE_f (raw): -1.658 eV per atom
Energy: -7.895 eV/atom
SG: P3m1, No. 156
Spin magnetization: 0.0 Bohr magnetons per cell
Relative energy among the computed polymorphs: 0.0 kJ/mol of atoms
Calculated density: 8.208 g/cm3
Crystal system: trigonal

Cell and atoms, written as extended XYZ:
```
3
Lattice="3.385 0.000 0.000 -1.693 2.932 0.000 0.000 0.000 5.972" Properties=species:S:1:pos:R:3 pbc="T T T"
Th 0.000 0.000 0.000
Sc 0.000 1.955 2.852
O 1.693 0.977 1.886
```

15.
## Rb2DyCdF6 (GGA-PBE)

Data for Rb2DyCdF6 after structural relaxation.

Output
ΔE_f (raw): -2.956 eV per atom
Energy: -4.824 eV/atom
SG: Fm-3m, No. 225
Spin magnetization: 0.7 Bohr magnetons per cell
Calculated density: 4.471 g/cm3
Crystal system: cubic

Cell and atoms, written as extended XYZ:
```
10
Lattice="0.000 4.702 4.702 4.702 0.000 4.702 4.702 4.702 0.000" Properties=species:S:1:pos:R:3 pbc="T T T"
Rb 2.351 2.351 2.351
Rb 7.053 7.053 7.053
Dy 0.000 0.000 0.000
Cd 4.702 4.702 4.702
F 4.702 4.702 2.184
F 4.702 2.184 4.702
F 7.220 4.702 4.702
F 2.184 4.702 4.702
F 4.702 7.220 4.702
F 4.702 4.702 7.220
```

16.
## Pr6IrRu2Br3 (GGA-PBE)

Data for Pr6IrRu2Br3 after structural relaxation.

Output
ΔE_f (raw): -0.864 eV per atom
Energy: -5.956 eV/atom
SG: C2/m, No. 12
Spin magnetization: 0.0 Bohr magnetons per cell
Calculated density: 6.981 g/cm3
Crystal system: monoclinic

Cell and atoms, written as extended XYZ:
```
12
Lattice="3.584 -6.208 0.000 3.584 6.208 0.000 -2.390 0.000 7.908" Properties=species:S:1:pos:R:3 pbc="T T T"
Pr -0.014 2.094 6.351
Pr 1.167 0.000 1.561
Pr -0.014 -2.094 6.351
Pr 4.792 2.094 1.558
Pr 3.611 0.000 6.348
Pr 4.792 -2.094 1.558
Ir 3.584 0.000 0.000
Ru 3.584 4.143 0.000
Ru 3.584 -4.143 0.000
Br -1.195 0.000 3.954
Br 2.389 2.093 3.954
Br 2.389 -2.093 3.954
```

17.
## AlBIr2 (GGA-PBE)

Data for AlBIr2 after structural relaxation.

Output
Formation energy from the elements: -0.342 eV/atom
Energy: -7.377 eV/atom
SG: P4/mmm, No. 123
Spin magnetization: 0.0 Bohr magnetons per cell
Relative energy among the computed polymorphs: 0.0 kJ/mol of atoms
Calculated density: 14.457 g/cm3
Crystal system: tetragonal

Cell and atoms, written as extended XYZ:
```
4
Lattice="2.792 0.000 0.000 0.000 2.792 0.000 0.000 0.000 6.222" Properties=species:S:1:pos:R:3 pbc="T T T"
Al 0.000 0.000 0.000
B 0.000 0.000 3.111
Ir 1.396 1.396 1.780
Ir 1.396 1.396 4.442
```

18.
## K2WS (GGA-PBE)

Data for K2WS after structural relaxation.

Output
ΔE_f (raw): 0.458 eV per atom
Energy: -4.360 eV/atom
SG: I-42d, No. 122
Spin magnetization: 6.0 Bohr magnetons per cell
Calculated density: 2.769 g/cm3
Crystal system: tetragonal

Cell and atoms, written as extended XYZ:
```
8
Lattice="-6.208 6.208 2.288 6.208 -6.208 2.288 6.208 6.208 -2.288" Properties=species:S:1:pos:R:3 pbc="T T T"
K 0.570 3.104 0.572
K -3.104 5.638 1.716
K -0.570 9.312 0.572
K 3.104 6.778 1.716
W 6.208 0.000 1.144
W 0.000 0.000 2.288
S 0.000 0.000 0.000
S 0.000 6.208 1.144
```

19.
## Cd2RuPbO8 (GGA-PBE)

Data for Cd2RuPbO8 after structural relaxation.

Output
ΔE_f (raw): -0.670 eV per atom
Energy: -5.210 eV/atom
SG: P2/m, No. 10
Spin magnetization: 0.0 Bohr magnetons per cell
Calculated density: 6.544 g/cm3
Crystal system: monoclinic

Cell and atoms, written as extended XYZ:
```
12
Lattice="4.986 0.000 0.000 0.000 6.721 0.000 -0.298 0.000 5.005" Properties=species:S:1:pos:R:3 pbc="T T T"
Cd 0.000 1.629 0.000
Cd 0.000 5.092 0.000
Ru 2.344 0.000 2.503
Pb 2.344 3.361 2.503
O 0.952 3.361 0.992
O 1.066 0.000 1.119
O 1.393 1.397 3.382
O 1.393 5.324 3.382
O 3.295 1.397 1.623
O 3.295 5.324 1.623
O 3.622 0.000 3.886
O 3.737 3.361 4.013
```

20.
## Hf6Co3Ni (GGA-PBE)

Data for Hf6Co3Ni after structural relaxation.

Output
Formation energy from the elements: -0.210 eV/atom
Energy: -8.892 eV/atom
SG: P2_1/m, No. 11
Spin magnetization: 0.0 Bohr magnetons per cell
Calculated density: 12.060 g/cm3
Crystal system: monoclinic

Cell and atoms, written as extended XYZ:
```
20
Lattice="9.706 0.000 0.000 0.000 3.404 0.000 -4.380 0.000 10.890" Properties=species:S:1:pos:R:3 pbc="T T T"
Hf -1.404 0.851 4.216
Hf -3.305 0.851 9.756
Hf 1.021 2.553 3.468
Hf -0.435 2.553 8.677
Hf 2.892 2.553 0.958
Hf 1.338 0.851 6.065
Hf 3.988 2.553 4.826
Hf 2.434 0.851 9.932
Hf 5.761 0.851 2.213
Hf 4.305 0.851 7.422
Hf 8.631 2.553 1.134
Hf 6.730 2.553 6.674
Co 0.818 0.851 1.555
Co -0.540 2.553 5.966
Co -0.310 0.851 10.452
Co 5.636 2.553 0.439
Co 5.866 0.851 4.924
Co 4.508 2.553 9.335
Ni 3.066 0.851 3.081
Ni 2.260 2.553 7.809
```